(1)
Below is an optimized crystal structure of KLiHfF6, with properties calculated at the PBE-GGA level.

The structure in CIF format:
```
data_KLiHfF6
_chemical_formula_sum 'K2 Li2 Hf2 F12'
_space_group_name_H-M_alt 'P -3 1 c'
_space_group_IT_number 163
_space_group_name_Hall '-P 3 2c'
_cell_length_a 5.4699
_cell_length_b 5.4699
_cell_length_c 11.4391
_cell_angle_alpha 90.00
_cell_angle_beta 90.00
_cell_angle_gamma 120.00
loop_
_atom_site_label
_atom_site_type_symbol
_atom_site_fract_x
_atom_site_fract_y
_atom_site_fract_z
K1 K 0.0000 0.0000 0.0000
Li1 Li 0.3333 0.6667 0.2500
Hf1 Hf 0.3333 0.6667 0.7500
F1 F 0.0103 0.3839 0.6517
```

Results
Spin magnetization ... 0.0058 μB/atom
Formation energy without anion corrections ... -3.48 eV per atom
DOS at the Fermi energy ... 0.0 states/eV per cell

***

(2)
Below is an optimized crystal structure of ErPaCuOs, with properties calculated at the PBE-GGA level.

The structure in CIF format:
```
data_ErPaCuOs
_chemical_formula_sum 'Er4 Pa4 Cu4 Os4'
_space_group_name_H-M_alt 'F -4 3 m'
_space_group_IT_number 216
_space_group_name_Hall 'F -4 2 3'
_cell_length_a 6.8605
_cell_length_b 6.8605
_cell_length_c 6.8605
_cell_angle_alpha 90.00
_cell_angle_beta 90.00
_cell_angle_gamma 90.00
loop_
_atom_site_label
_atom_site_type_symbol
_atom_site_fract_x
_atom_site_fract_y
_atom_site_fract_z
Er1 Er 0.0000 0.0000 0.0000
Pa1 Pa 0.0000 0.0000 0.5000
Cu1 Cu 0.2500 0.2500 0.2500
Os1 Os 0.2500 0.2500 0.7500
```

Results
Spin magnetization ... 0.0000 μB/atom
Formation enthalpy at 0 K ... -184 meV/atom
DOS at the Fermi energy ... 13.9 states/eV per cell

***

(3)
Below is an optimized crystal structure of AlCd2Pb, with properties calculated at the PBE-GGA level.

The structure in CIF format:
```
data_AlCd2Pb
_chemical_formula_sum 'Al2 Cd4 Pb2'
_space_group_name_H-M_alt 'I -4 m 2'
_space_group_IT_number 119
_space_group_name_Hall 'I -4 -2'
_cell_length_a 4.6079
_cell_length_b 4.6079
_cell_length_c 9.1627
_cell_angle_alpha 90.00
_cell_angle_beta 90.00
_cell_angle_gamma 90.00
loop_
_atom_site_label
_atom_site_type_symbol
_atom_site_fract_x
_atom_site_fract_y
_atom_site_fract_z
Al1 Al 0.0000 0.0000 0.0000
Cd1 Cd 0.0000 0.0000 0.5000
Cd2 Cd 0.0000 0.5000 0.7500
Pb1 Pb 0.0000 0.5000 0.2500
```

Results
Spin magnetization ... 0.0000 μB/atom
Formation enthalpy at 0 K ... 172 meV/atom
DOS at the Fermi energy ... 3.9 states/eV per cell

***

(4)
Below is an optimized crystal structure of Sc2CS, with properties calculated at the PBE-GGA level.

The structure in CIF format:
```
data_Sc2CS
_chemical_formula_sum 'Sc8 C4 S4'
_space_group_name_H-M_alt 'I -4 2 d'
_space_group_IT_number 122
_space_group_name_Hall 'I -4 2bw'
_cell_length_a 6.1330
_cell_length_b 6.1330
_cell_length_c 7.5415
_cell_angle_alpha 90.00
_cell_angle_beta 90.00
_cell_angle_gamma 90.00
loop_
_atom_site_label
_atom_site_type_symbol
_atom_site_fract_x
_atom_site_fract_y
_atom_site_fract_z
Sc1 Sc 0.1919 0.2500 0.1250
C1 C 0.0000 0.0000 0.0000
S1 S 0.0000 0.0000 0.5000
```

Results
Spin magnetization ... 0.0000 μB/atom
Formation energy without anion corrections ... -0.96 eV per atom
DOS at the Fermi energy ... 0.0 states/eV per cell

***

(5)
Below is an optimized crystal structure of NdSmTmAg, with properties calculated at the PBE-GGA level.

The structure in CIF format:
```
data_NdSmTmAg
_chemical_formula_sum 'Nd1 Sm1 Tm1 Ag1'
_space_group_name_H-M_alt 'P 4 m m'
_space_group_IT_number 99
_cell_length_a 3.6511
_cell_length_b 3.6511
_cell_length_c 8.7044
_cell_angle_alpha 90.00
_cell_angle_beta 90.00
_cell_angle_gamma 90.00
loop_
_space_group_symop_operation_xyz
'x,y,z'
'-y,x,z'
'-x,-y,z'
'y,-x,z'
'-x,y,z'
'y,x,z'
'x,-y,z'
'-y,-x,z'
loop_
_atom_site_label
_atom_site_type_symbol
_atom_site_fract_x
_atom_site_fract_y
_atom_site_fract_z
Nd1 Nd 0.0000 0.0000 0.0000
Sm1 Sm 0.5000 0.5000 0.7043
Tm1 Tm 0.5000 0.5000 0.2878
Ag1 Ag 0.0000 0.0000 0.4790
```

Results
Spin magnetization ... 0.0000 μB/atom
Formation enthalpy at 0 K ... -129 meV/atom
DOS at the Fermi energy ... 5.6 states/eV per cell

***

(6)
Below is an optimized crystal structure of NiB2Ir, with properties calculated at the PBE-GGA level.

The structure in CIF format:
```
data_NiB2Ir
_chemical_formula_sum 'Ni4 B8 Ir4'
_space_group_name_H-M_alt 'F m -3 m'
_space_group_IT_number 225
_space_group_name_Hall '-F 4 2 3'
_cell_length_a 5.3133
_cell_length_b 5.3133
_cell_length_c 5.3133
_cell_angle_alpha 90.00
_cell_angle_beta 90.00
_cell_angle_gamma 90.00
loop_
_atom_site_label
_atom_site_type_symbol
_atom_site_fract_x
_atom_site_fract_y
_atom_site_fract_z
Ni1 Ni 0.0000 0.0000 0.0000
B1 B 0.2500 0.2500 0.2500
Ir1 Ir 0.0000 0.0000 0.5000
```

Results
Spin magnetization ... 0.0000 μB/atom
Formation enthalpy at 0 K ... 221 meV/atom
DOS at the Fermi energy ... 11.1 states/eV per cell

***

(7)
Below is an optimized crystal structure of CrOs2Ru, with properties calculated at the PBE-GGA level.

The structure in CIF format:
```
data_CrOs2Ru
_chemical_formula_sum 'Cr2 Os4 Ru2'
_space_group_name_H-M_alt 'C m m m'
_space_group_IT_number 65
_space_group_name_Hall '-C 2 2'
_cell_length_a 2.7953
_cell_length_b 4.5254
_cell_length_c 8.8566
_cell_angle_alpha 90.00
_cell_angle_beta 90.00
_cell_angle_gamma 90.00
loop_
_atom_site_label
_atom_site_type_symbol
_atom_site_fract_x
_atom_site_fract_y
_atom_site_fract_z
Cr1 Cr 0.0000 0.0000 0.0000
Os1 Os 0.0000 0.5000 0.2382
Ru1 Ru 0.0000 0.0000 0.5000
```

Results
Spin magnetization ... 0.0716 μB/atom
Formation enthalpy at 0 K ... 474 meV/atom
DOS at the Fermi energy ... 11.7 states/eV per cell

***

(8)
Below is an optimized crystal structure of BaTeI2Br, with properties calculated at the PBE-GGA level.

The structure in CIF format:
```
data_BaTeI2Br
_chemical_formula_sum 'Ba1 Te1 I2 Br1'
_space_group_name_H-M_alt 'P 4/m m m'
_space_group_IT_number 123
_space_group_name_Hall '-P 4 2'
_cell_length_a 6.6874
_cell_length_b 6.6874
_cell_length_c 7.2327
_cell_angle_alpha 90.00
_cell_angle_beta 90.00
_cell_angle_gamma 90.00
loop_
_atom_site_label
_atom_site_type_symbol
_atom_site_fract_x
_atom_site_fract_y
_atom_site_fract_z
Ba1 Ba 0.0000 0.0000 0.0000
Te1 Te 0.0000 0.0000 0.5000
I1 I 0.0000 0.5000 0.0000
Br1 Br 0.5000 0.5000 0.5000
```

Results
Spin magnetization ... 0.6107 μB/atom
Formation energy without anion corrections ... -0.34 eV per atom
DOS at the Fermi energy ... 10.9 states/eV per cell

***

(9)
Below is an optimized crystal structure of GeSbRh3, with properties calculated at the PBE-GGA level.

The structure in CIF format:
```
data_GeSbRh3
_chemical_formula_sum 'Ge2 Sb2 Rh6'
_space_group_name_H-M_alt 'P m c 21'
_space_group_IT_number 26
_cell_length_a 4.3105
_cell_length_b 7.4006
_cell_length_c 5.5621
_cell_angle_alpha 90.00
_cell_angle_beta 90.00
_cell_angle_gamma 90.00
loop_
_space_group_symop_operation_xyz
'x,y,z'
'-x,-y,z+1/2'
'-x,y,z'
'x,-y,z+1/2'
loop_
_atom_site_label
_atom_site_type_symbol
_atom_site_fract_x
_atom_site_fract_y
_atom_site_fract_z
Ge1 Ge 0.0000 0.1573 0.0000
Sb1 Sb 0.5000 0.3262 0.4166
Rh1 Rh 0.0000 0.1629 0.5645
Rh2 Rh 0.0000 0.4550 0.1947
Rh3 Rh 0.5000 0.3157 0.8953
```

Results
Spin magnetization ... 0.0000 μB/atom
Formation energy without anion corrections ... -0.30 eV per atom
DOS at the Fermi energy ... 7.5 states/eV per cell

***

(10)
Below is an optimized crystal structure of CrIrCl2, with properties calculated at the PBE-GGA level.

The structure in CIF format:
```
data_CrIrCl2
_chemical_formula_sum 'Cr4 Ir4 Cl8'
_space_group_name_H-M_alt 'F -4 3 m'
_space_group_IT_number 216
_space_group_name_Hall 'F -4 2 3'
_cell_length_a 6.4228
_cell_length_b 6.4228
_cell_length_c 6.4228
_cell_angle_alpha 90.00
_cell_angle_beta 90.00
_cell_angle_gamma 90.00
loop_
_atom_site_label
_atom_site_type_symbol
_atom_site_fract_x
_atom_site_fract_y
_atom_site_fract_z
Cr1 Cr 0.0000 0.0000 0.0000
Ir1 Ir 0.2500 0.2500 0.2500
Cl1 Cl 0.0000 0.0000 0.5000
Cl2 Cl 0.2500 0.2500 0.7500
```

Results
Spin magnetization ... 0.7084 μB/atom
Formation energy without anion corrections ... 0.75 eV per atom
DOS at the Fermi energy ... 10.0 states/eV per cell

***

(11)
Below is an optimized crystal structure of LiCaCeGe, with properties calculated at the PBE-GGA level.

The structure in CIF format:
```
data_LiCaCeGe
_chemical_formula_sum 'Li4 Ca4 Ce4 Ge4'
_space_group_name_H-M_alt 'F -4 3 m'
_space_group_IT_number 216
_space_group_name_Hall 'F -4 2 3'
_cell_length_a 7.3253
_cell_length_b 7.3253
_cell_length_c 7.3253
_cell_angle_alpha 90.00
_cell_angle_beta 90.00
_cell_angle_gamma 90.00
loop_
_atom_site_label
_atom_site_type_symbol
_atom_site_fract_x
_atom_site_fract_y
_atom_site_fract_z
Li1 Li 0.0000 0.0000 0.0000
Ca1 Ca 0.2500 0.2500 0.2500
Ce1 Ce 0.2500 0.2500 0.7500
Ge1 Ge 0.0000 0.0000 0.5000
```

Results
Spin magnetization ... 0.3172 μB/atom
Formation enthalpy at 0 K ... -290 meV/atom
DOS at the Fermi energy ... 37.9 states/eV per cell

***

(12)
Below is an optimized crystal structure of InMoPb, with properties calculated at the PBE-GGA level.

The structure in CIF format:
```
data_InMoPb
_chemical_formula_sum 'In1 Mo1 Pb1'
_space_group_name_H-M_alt 'P 3 m 1'
_space_group_IT_number 156
_cell_length_a 3.2438
_cell_length_b 3.2438
_cell_length_c 7.3707
_cell_angle_alpha 90.00
_cell_angle_beta 90.00
_cell_angle_gamma 120.00
loop_
_space_group_symop_operation_xyz
'x,y,z'
'-y,x-y,z'
'-x+y,-x,z'
'-y,-x,z'
'-x+y,y,z'
'x,x-y,z'
loop_
_atom_site_label
_atom_site_type_symbol
_atom_site_fract_x
_atom_site_fract_y
_atom_site_fract_z
In1 In 0.0000 0.0000 0.0000
Mo1 Mo 0.6667 0.3333 0.2973
Pb1 Pb 0.3333 0.6667 0.6093
```

Results
Spin magnetization ... 0.2473 μB/atom
Formation enthalpy at 0 K ... 565 meV/atom
DOS at the Fermi energy ... 2.5 states/eV per cell